No. 1
Here is a relaxed Ac3Ga4Ag2 crystal from the Alexandria database. Energies are from PBE.

As for the crystal system: monoclinic. As for the formation energy: -4.39 eV/f.u. As for the total magnetization: 0.00 μB per atom.

The space group is C2/m (No. 12) and the conventional cell measures 11.631, 4.759 and 9.087 Å, with angles of 90.00, 110.02 and 90.00 degrees. The asymmetric unit holds Ac at (0.000, 0.000, 0.000), Ac at (0.173, 0.500, 0.658), Ga at (0.030, 0.000, 0.369), Ga at (0.239, 0.500, 0.074) and Ag at (0.101, 0.500, 0.271).

No. 2
Here is a relaxed DyYIrOs crystal from the Alexandria database. Energies are from PBE.

As for the crystal system: cubic. As for the formation energy: -1.69 eV/f.u. As for the total magnetization: 0.00 μB per atom.

The space group is F-43m (No. 216) and the conventional cell measures 6.836, 6.836 and 6.836 Å, with angles of 90.00, 90.00 and 90.00 degrees. The asymmetric unit holds Dy at (0.000, 0.000, 0.000), Y at (0.000, 0.000, 0.500), Ir at (0.250, 0.250, 0.250) and Os at (0.250, 0.250, 0.750).

No. 3
Here is a relaxed Li3Ce2MnSe6 crystal from the Alexandria database. Energies are from PBE.

As for the crystal system: monoclinic. As for the uncorrected formation energy: -1333.9 meV per atom. As for the total magnetization: 0.33 μB per atom.

The space group is C2/m (No. 12) and the conventional cell measures 7.034, 12.187 and 6.870 Å, with angles of 90.00, 109.88 and 90.00 degrees. The asymmetric unit holds Li at (0.000, 0.000, 0.000), Li at (0.000, 0.336, 0.000), Ce at (0.000, 0.167, 0.500), Mn at (0.000, 0.500, 0.500), Se at (0.235, 0.500, 0.250) and Se at (0.244, 0.340, 0.753).

No. 4
Here is a relaxed ZrCuOs3 crystal from the Alexandria database. Energies are from PBE.

As for the crystal system: cubic. The excess energy over the best structure of this formula in the dataset is 0 meV/atom. As for the formation energy: 6.68 eV/f.u. As for the total magnetization: 0.00 μB per atom.

The space group is Pm-3m (No. 221) and the conventional cell measures 4.451, 4.451 and 4.451 Å, with angles of 90.00, 90.00 and 90.00 degrees. The asymmetric unit holds Zr at (0.000, 0.000, 0.000), Cu at (0.500, 0.500, 0.500) and Os at (0.000, 0.500, 0.500).

No. 5
Here is a relaxed Zr4CdTc crystal from the Alexandria database. Energies are from PBE.

As for the crystal system: monoclinic. The excess energy over the best structure of this formula in the dataset is 408 meV/atom. As for the formation energy: 1.28 eV/f.u. As for the total magnetization: 0.00 μB per atom.

The space group is C2/m (No. 12) and the conventional cell measures 8.470, 4.733 and 7.756 Å, with angles of 90.00, 110.76 and 90.00 degrees. The asymmetric unit holds Zr at (0.122, 0.000, 0.349), Zr at (0.134, 0.500, 0.908), Cd at (0.000, 0.500, 0.500) and Tc at (0.000, 0.000, 0.000).

No. 6
Here is a relaxed VTc2Ru2 crystal from the Alexandria database. Energies are from PBE.

As for the crystal system: tetragonal. As for the formation energy: 0.99 eV/f.u. As for the total magnetization: 0.00 μB per atom.

The space group is P4/mbm (No. 127) and the conventional cell measures 7.405, 7.405 and 2.736 Å, with angles of 90.00, 90.00 and 90.00 degrees. The asymmetric unit holds V at (0.000, 0.000, 0.000), Tc at (0.172, 0.328, 0.500) and Ru at (0.125, 0.625, 0.000).

No. 7
Here is a relaxed ZrGa8Ir2 crystal from the Alexandria database. Energies are from PBE.

As for the crystal system: monoclinic. As for the formation energy: -3.00 eV/f.u. As for the total magnetization: 0.00 μB per atom.

The space group is C2/m (No. 12) and the conventional cell measures 12.670, 4.201 and 7.652 Å, with angles of 90.00, 98.58 and 90.00 degrees. The asymmetric unit holds Zr at (0.000, 0.000, 0.000), Ga at (0.031, 0.000, 0.361), Ga at (0.087, 0.500, 0.786), Ga at (0.186, 0.500, 0.433), Ga at (0.220, 0.000, 0.893) and Ir at (0.206, 0.000, 0.243).

No. 8
Here is a relaxed Nd3Y2TmTe6 crystal from the Alexandria database. Energies are from PBE.

As for the crystal system: monoclinic. As for the uncorrected formation energy: -1349.2 meV per atom. As for the total magnetization: 0.00 μB per atom.

The space group is C2/m (No. 12) and the conventional cell measures 19.390, 4.372 and 8.950 Å, with angles of 90.00, 104.73 and 90.00 degrees. The asymmetric unit holds Nd at (0.000, 0.000, 0.000), Nd at (0.169, 0.500, 0.334), Y at (0.168, 0.500, 0.835), Tm at (0.000, 0.000, 0.500), Te at (0.002, 0.500, 0.739), Te at (0.162, 0.000, 0.588) and Te at (0.168, 0.000, 0.077).